## Nd2HoErBi5 (PBE-GGA)

Data for crystalline Nd2HoErBi5 at its relaxed geometry.

Spin magnetization, μB per formula unit: 0.000
Energy of formation from the pure elements, eV/f.u.: -1.0
N(E_F), states/eV per cell: 5.9

Structure (extended XYZ):
```
9
Lattice="-5.146 -0.027 -1.713 1.330 -3.481 -3.941 -2.363 -9.104 7.243" Properties=species:S:1:pos:R:3 pbc="T T T"
Nd -2.560 -4.267 -0.828
Nd -3.619 -8.345 2.417
Ho -1.181 -4.552 3.622
Er 0.000 0.000 0.000
Bi -0.516 -6.292 1.651
Bi -3.755 -4.565 2.765
Bi -1.783 -6.869 5.466
Bi -0.580 -2.234 1.778
Bi -1.908 -1.754 -2.827
```

## FeN2Cl2 (PBE-GGA)

Data for crystalline FeN2Cl2 at its relaxed geometry.

Energy above the most stable polymorph in this dataset, meV/atom: 0
Spin magnetization, μB per formula unit: 4.000
N(E_F), states/eV per cell: 2.5

Structure (extended XYZ):
```
5
Lattice="-2.998 1.163 1.481 0.029 -0.982 -3.403 -2.484 -10.039 2.855" Properties=species:S:1:pos:R:3 pbc="T T T"
Fe 0.000 0.000 0.000
N -4.036 -4.313 -0.552
N -1.418 -5.545 1.484
Cl -2.310 -0.853 0.226
Cl -3.144 -9.005 0.706
```

## HfSb2Au (PBE-GGA)

Data for crystalline HfSb2Au at its relaxed geometry.

E_tot, eV/cell: -22.175
Spin magnetization, μB per formula unit: 0.000
N(E_F), states/eV per cell: 1.9

Structure (extended XYZ):
```
4
Lattice="3.739 0.000 0.000 0.000 4.842 0.000 0.000 0.000 4.842" Properties=species:S:1:pos:R:3 pbc="T T T"
Hf 1.870 2.421 2.421
Au 1.870 0.000 0.000
Sb 0.000 0.000 2.421
Sb 0.000 2.421 0.000
```

## AcNd2Ga (PBE-GGA)

Data for crystalline AcNd2Ga at its relaxed geometry.

Energy above the most stable polymorph in this dataset, meV/atom: 241
Spin magnetization, μB per formula unit: 0.004
Energy of formation from the pure elements, eV/f.u.: 0.0
N(E_F), states/eV per cell: 7.2

Structure (extended XYZ):
```
4
Lattice="-4.715 -0.830 -2.917 -4.334 -2.648 2.372 -4.647 2.848 1.313" Properties=species:S:1:pos:R:3 pbc="T T T"
Ac 0.000 0.000 0.000
Nd -3.424 -0.157 0.192
Nd -10.272 -0.472 0.576
Ga -6.848 -0.315 0.384
```

## Pm3Y2 (PBE-GGA)

Data for crystalline Pm3Y2 at its relaxed geometry.

Spin magnetization, μB per formula unit: 0.000
Energy of formation from the pure elements, eV/f.u.: 0.4
N(E_F), states/eV per cell: 15.1

Structure (extended XYZ):
```
10
Lattice="3.577 0.000 0.000 0.000 11.615 -1.620 0.000 -2.098 8.469" Properties=species:S:1:pos:R:3 pbc="T T T"
Pm 0.894 2.204 1.953
Pm 2.683 7.313 4.897
Pm 0.894 -1.151 7.209
Pm 2.683 10.669 -0.360
Pm 2.683 3.842 4.665
Pm 0.894 5.675 2.184
Y 0.894 9.126 2.270
Y 2.683 0.392 4.579
Y 0.894 7.491 -0.989
Y 2.683 2.027 7.838
```

> Which formula does entry 4 have?

AcNd2Ga